[1]
## GdMgCuPt (GGA-PBE)

Data for a geometry-optimized GdMgCuPt structure.

Summary:
- D(E_F): 10.44 states/eV per cell
- VASP energy: -0.519 Ry/atom
- M_tot: 29.1 Bohr magnetons per cell

Cell lengths 6.7506, 6.7506, 6.7506 Å; angles 90.00, 90.00, 90.00 degrees
With the nearest neighbours (Å) after each atom.
Space group F-43m (No. 216)
Asymmetric unit:
1 Gd 0.0000 0.0000 0.0000 (multiplicity 4)  4 Pt 2.92, 4 Cu 2.92
2 Mg 0.0000 0.0000 0.5000 (multiplicity 4)  4 Cu 2.92, 4 Pt 2.92
3 Cu 0.2500 0.2500 0.7500 (multiplicity 4)  4 Gd 2.92, 4 Mg 2.92
4 Pt 0.2500 0.2500 0.2500 (multiplicity 4)  4 Gd 2.92, 4 Mg 2.92

[2]
## Cr3ReW (GGA-PBE)

Data for a geometry-optimized Cr3ReW structure.

Summary:
- D(E_F): 5.23 states/eV per cell
- Polymorph energy (0 for the lowest one): 1543 meV per atom
- VASP energy: -0.660 Ry/atom
- M_tot: 0.0 Bohr magnetons per cell

Cell lengths 4.3999, 4.3999, 4.3999 Å; angles 90.00, 90.00, 90.00 degrees
With the nearest neighbours (Å) after each atom.
Space group Pm-3m (No. 221)
Asymmetric unit:
1 Cr 0.0000 0.0000 0.5000 (multiplicity 3)  2 Re 2.20
2 Re 0.0000 0.0000 0.0000 (multiplicity 1)  6 Cr 2.20
3 W 0.5000 0.5000 0.5000 (multiplicity 1)  12 Cr 3.11